1.
Computed, not measured: a geometry-optimized HfAl2Rh structure at the PBE-GGA level of DFT.

Cell and atoms, written as POSCAR:
```
HfAl2Rh
1.0
2.091 1.207 4.478
-2.091 1.207 4.478
0.000 -2.414 4.478
Hf Al Rh
1 2 1
direct
0.000 0.000 0.000
0.219 0.219 0.219
0.781 0.781 0.781
0.500 0.500 0.500
```

Computed properties:
calculated formation energy: -547 meV per atom

2.
Computed, not measured: a geometry-optimized CuAg2Rh structure at the PBE-GGA level of DFT.

Cell and atoms, written as POSCAR:
```
CuAg2Rh
1.0
2.832 0.000 0.000
0.000 2.832 0.000
0.000 0.000 7.756
Cu Ag Rh
1 2 1
direct
0.000 0.000 0.000
0.000 0.000 0.478
0.500 0.500 0.759
0.500 0.500 0.213
```

Computed properties:
calculated formation energy: 146 meV per atom

3.
Computed, not measured: a geometry-optimized Zn2GaRh structure at the PBE-GGA level of DFT.

Cell and atoms, written as POSCAR:
```
Zn2GaRh
1.0
4.282 0.000 0.000
0.000 5.102 0.000
-2.138 0.000 6.144
Zn Ga Rh
4 2 2
direct
0.182 0.000 0.363
0.182 0.500 0.363
0.818 0.000 0.637
0.818 0.500 0.637
0.418 0.250 0.840
0.582 0.750 0.160
0.378 0.750 0.757
0.622 0.250 0.243
```

Computed properties:
calculated formation energy: -219 meV per atom

4.
Computed, not measured: a geometry-optimized Ta4V9Ru11 structure at the PBE-GGA level of DFT.

Cell and atoms, written as POSCAR:
```
Ta4V9Ru11
1.0
6.970 -8.594 0.000
6.970 8.594 0.000
0.000 0.000 2.919
Ta V Ru
4 9 11
direct
0.076 0.239 0.000
0.239 0.076 0.000
0.761 0.924 0.000
0.924 0.761 0.000
0.000 0.000 0.000
0.109 0.649 0.000
0.298 0.486 0.000
0.351 0.891 0.000
0.486 0.298 0.000
0.514 0.702 0.000
0.649 0.109 0.000
0.702 0.514 0.000
0.891 0.351 0.000
0.110 0.455 0.500
0.144 0.856 0.500
0.296 0.296 0.500
0.317 0.683 0.500
0.455 0.110 0.500
0.500 0.500 0.500
0.545 0.890 0.500
0.683 0.317 0.500
0.704 0.704 0.500
0.856 0.144 0.500
0.890 0.545 0.500
```

Computed properties:
calculated formation energy: -180 meV per atom

5.
Computed, not measured: a geometry-optimized Pm2PuPt2 structure at the PBE-GGA level of DFT.

Cell and atoms, written as POSCAR:
```
Pm2PuPt2
1.0
7.735 0.000 0.000
0.000 7.735 0.000
0.000 0.000 4.173
Pm Pu Pt
4 2 4
direct
0.164 0.336 0.000
0.336 0.836 0.000
0.664 0.164 0.000
0.836 0.664 0.000
0.000 0.000 0.500
0.500 0.500 0.500
0.137 0.637 0.500
0.363 0.137 0.500
0.637 0.863 0.500
0.863 0.363 0.500
```

Computed properties:
calculated formation energy: -852 meV per atom

6.
Computed, not measured: a geometry-optimized WAu3 structure at the PBE-GGA level of DFT.

Cell and atoms, written as POSCAR:
```
WAu3
1.0
4.739 -1.412 0.000
4.739 1.412 0.000
-0.682 0.000 5.180
W Au
1 3
direct
0.000 0.000 0.000
0.256 0.256 0.761
0.500 0.500 0.500
0.744 0.744 0.239
```

Computed properties:
calculated formation energy: 369 meV per atom

7.
Computed, not measured: a geometry-optimized Pr3Dy2In7 structure at the PBE-GGA level of DFT.

Cell and atoms, written as POSCAR:
```
Pr3Dy2In7
1.0
2.621 -12.570 0.000
2.621 12.570 0.000
0.000 0.000 5.486
Pr Dy In
3 2 7
direct
0.000 0.000 0.000
0.160 0.840 0.000
0.840 0.160 0.000
0.356 0.644 0.500
0.644 0.356 0.500
0.075 0.925 0.500
0.228 0.772 0.500
0.420 0.580 0.000
0.500 0.500 0.500
0.580 0.420 0.000
0.772 0.228 0.500
0.925 0.075 0.500
```

Computed properties:
calculated formation energy: -239 meV per atom

8.
Computed, not measured: a geometry-optimized TaFeGeTe2Pd structure at the PBE-GGA level of DFT.

Cell and atoms, written as POSCAR:
```
TaFeGeTe2Pd
1.0
4.091 0.000 0.000
-2.046 3.543 0.000
0.000 0.000 9.029
Ta Fe Ge Te Pd
1 1 1 2 1
direct
0.000 0.000 0.000
0.667 0.333 0.885
0.333 0.667 0.835
0.333 0.667 0.521
0.667 0.333 0.181
0.000 0.000 0.683
```

Computed properties:
formation energy without anion corrections: -0.235 eV/atom

9.
Computed, not measured: a geometry-optimized Sc2ZnTe structure at the PBE-GGA level of DFT.

Cell and atoms, written as POSCAR:
```
Sc2ZnTe
1.0
1.751 1.011 9.148
-1.751 1.011 9.148
0.000 -2.022 9.148
Sc Zn Te
2 1 1
direct
0.000 0.000 0.000
0.242 0.242 0.242
0.747 0.747 0.747
0.496 0.496 0.496
```

Computed properties:
formation energy without anion corrections: -0.168 eV/atom

10.
Computed, not measured: a geometry-optimized BaLi2MgAg structure at the PBE-GGA level of DFT.

Cell and atoms, written as POSCAR:
```
BaLi2MgAg
1.0
5.285 0.000 0.000
0.000 5.285 0.000
0.000 0.000 5.269
Ba Li Mg Ag
1 2 1 1
direct
0.000 0.000 0.000
0.000 0.500 0.500
0.500 0.000 0.500
0.500 0.500 0.000
0.500 0.500 0.500
```

Computed properties:
calculated formation energy: -39 meV per atom

11.
Computed, not measured: a geometry-optimized Li2YAlSb structure at the PBE-GGA level of DFT.

Cell and atoms, written as POSCAR:
```
Li2YAlSb
1.0
5.339 0.000 0.000
0.000 5.339 0.000
0.000 0.000 5.465
Li Y Al Sb
2 1 1 1
direct
0.000 0.500 0.000
0.500 0.000 0.000
0.000 0.000 0.000
0.000 0.000 0.500
0.500 0.500 0.500
```

Computed properties:
formation energy without anion corrections: 0.970 eV/atom

12.
Computed, not measured: a geometry-optimized NaLaPr2Tl4 structure at the PBE-GGA level of DFT.

Cell and atoms, written as POSCAR:
```
NaLaPr2Tl4
1.0
2.741 1.582 9.257
-2.741 1.582 9.257
0.000 -3.165 9.257
Na La Pr Tl
1 1 2 4
direct
0.000 0.000 0.000
0.500 0.500 0.500
0.257 0.257 0.257
0.743 0.743 0.743
0.125 0.125 0.125
0.375 0.375 0.375
0.625 0.625 0.625
0.875 0.875 0.875
```

Computed properties:
calculated formation energy: -337 meV per atom